The following is a GGA-PBE calculation of crystalline Ag3HgAu2 at its relaxed geometry, from Alexandria via LeMat-Bulk.

a b c (Å): 9.801 5.125 5.125
angles (deg): 119.92 90.00 90.00
Element x y z (fractional)
Hg1 0.220 0.166 0.166
Ag1 0.470 0.830 0.170
Ag2 0.970 0.500 0.500
Au1 0.720 0.166 0.498
Au2 0.220 0.502 0.834
Ag3 0.470 0.170 0.830
Au3 0.220 0.834 0.502
Hg2 0.720 0.834 0.834
Au4 0.720 0.498 0.166
Ag4 0.470 0.500 0.500
Ag5 0.970 0.170 0.830
Ag6 0.970 0.830 0.170

Distance to the lowest polymorph of the same formula   0.0 meV per atom